# 1
# BaMgCl2

A relaxed structure of BaMgCl2 (PBEsol, the Alexandria database).

a = 5.0537 Å, b = 5.0537 Å, c = 4.2046 Å
α = 90.00°, β = 90.00°, γ = 90.00°
Closest atoms and distances in Å follow each position.
Space group P4/mmm (No. 123)
Symmetry-distinct sites (fractional):
Ba  0.0000  0.0000  0.0000 x1  8 Cl 3.29, 4 Mg 3.57
Mg  0.5000  0.5000  0.0000 x1  8 Cl 3.29, 4 Ba 3.57
Cl  0.0000  0.5000  0.5000 x2  4 Ba 3.29, 4 Mg 3.29, 4 Cl 3.57

* E above lowest polymorph: 88 meV per atom
* energy relative to the elements, uncorrected: -1.3975 eV/atom

=====

# 2
# TaCoNi

A relaxed structure of TaCoNi (PBEsol, the Alexandria database).

a = 3.0942 Å, b = 3.1060 Å, c = 7.8920 Å
α = 90.00°, β = 90.00°, γ = 90.00°
Closest atoms and distances in Å follow each position.
Space group Imm2 (No. 44)
Symmetry-distinct sites (fractional):
Ta  0.0000  0.0000  0.0000 x2  5 Co 2.54-2.67, 5 Ni 2.56-2.62
Co  0.0000  0.0000  0.6622 x2  5 Ta 2.54-2.67, 5 Ni 2.57-2.61
Ni  0.0000  0.0000  0.3319 x2  5 Ta 2.56-2.62, 5 Co 2.57-2.61

* raw total energy: -0.6646 Ry/atom

=====

# 3
# Ca3Cu3As4O16

A relaxed structure of Ca3Cu3As4O16 (PBEsol, the Alexandria database).

a = 9.1016 Å, b = 5.0395 Å, c = 16.7338 Å
α = 90.00°, β = 116.72°, γ = 90.00°
Closest atoms and distances in Å follow each position.
Space group P2_1/c (No. 14)
Symmetry-distinct sites (fractional):
Ca  0.0000  0.0000  0.0000 x2  6 O 2.27-2.40
Ca  0.3058  0.0341  0.2682 x4  4 O 2.30-2.47
Cu  0.2088  0.5292  0.3817 x4  4 O 1.90-2.05
Cu  0.5000  0.0000  0.5000 x2  4 O 1.93-1.94
As  0.0398  0.5132  0.1596 x4  4 O 1.68-1.74
As  0.4358  0.5102  0.5942 x4  4 O 1.68-1.76
O  0.0354  0.6498  0.6436 x4  1 As 1.72
O  0.1088  0.1550  0.5964 x4  1 As 1.68
O  0.1479  0.5907  0.8499 x4  1 As 1.72
O  0.1939  0.0462  0.7671 x4  1 As 1.74, 1 Cu 1.90
O  0.2508  0.5759  0.5042 x4  1 As 1.71
O  0.4167  0.1977  0.9217 x4  1 As 1.76, 1 Cu 1.93
O  0.4400  0.6226  0.6896 x4  1 As 1.68
O  0.4977  0.1844  0.6014 x4  1 As 1.72

* energy relative to the elements, uncorrected: -1.5879 eV/atom

=====

# 4
# K2CrP

A relaxed structure of K2CrP (PBEsol, the Alexandria database).

a = 3.4433 Å, b = 3.4433 Å, c = 9.8624 Å
α = 90.00°, β = 90.00°, γ = 90.00°
Closest atoms and distances in Å follow each position.
Space group P4mm (No. 99)
Symmetry-distinct sites (fractional):
K  0.0000  0.0000  0.0000 x1  1 P 3.28, 4 K 3.44
K  0.5000  0.5000  0.4106 x1  1 Cr 3.05
Cr  0.5000  0.5000  0.7201 x1  4 P 2.49
P  0.0000  0.0000  0.6677 x1  4 Cr 2.49

* raw total energy: -0.3244 Ry/atom

=====

# 5
# NbSiAg2C

A relaxed structure of NbSiAg2C (PBEsol, the Alexandria database).

a = 4.1398 Å, b = 4.1398 Å, c = 4.3754 Å
α = 90.00°, β = 90.00°, γ = 90.00°
Closest atoms and distances in Å follow each position.
Space group P4/mmm (No. 123)
Symmetry-distinct sites (fractional):
Nb  0.0000  0.0000  0.0000 x1  2 C 2.19
Si  0.5000  0.5000  0.0000 x1  4 Nb 2.93, 8 Ag 3.01
Ag  0.0000  0.5000  0.5000 x2  2 C 2.07
C  0.0000  0.0000  0.5000 x1  4 Ag 2.07, 2 Nb 2.19

* energy relative to the elements, uncorrected: 0.4946 eV/atom

=====

# 6
# Li2Ni3WO8

A relaxed structure of Li2Ni3WO8 (PBEsol, the Alexandria database).

a = 8.2997 Å, b = 8.2997 Å, c = 8.0985 Å
α = 90.00°, β = 90.00°, γ = 90.00°
Closest atoms and distances in Å follow each position.
Space group P4_32_12 (No. 96)
Symmetry-distinct sites (fractional):
Li  0.0090  0.2681  0.3761 x8  4 O 1.93-1.97
Ni  0.1245  0.3752  0.7529 x8  6 O 1.86-2.08
Ni  0.1269  0.8731  0.2500 x4  6 O 1.93-2.08
W  0.1106  0.1106  0.0000 x4  6 O 1.88-2.03
O  0.1088  0.6421  0.2746 x8  3 Ni 1.86-1.95, 1 Li 1.93
O  0.1145  0.3549  0.9880 x8  2 Ni 1.91-2.00, 1 Li 1.96, 1 W 2.03
O  0.1153  0.8750  0.5052 x8  1 W 1.88, 1 Li 1.94, 2 Ni 2.07-2.08
O  0.1231  0.1362  0.7645 x8  1 W 1.92, 1 Li 1.97, 2 Ni 1.99-2.08

* E above lowest polymorph: 43 meV per atom
* energy relative to the elements, uncorrected: -1.4056 eV/atom